Record 1
Here is a geometry-optimized LiFe2Rh structure from the Alexandria database. Energies are from GGA-PBE.

The space group is Imm2 (No. 44) and the conventional cell measures 2.8265, 4.3019 and 8.3912 Å, with angles of 90.00, 90.00 and 90.00 degrees. The asymmetric unit holds Li at (0.0000, 0.0000, 0.0000), Fe at (0.0000, 0.0000, 0.5076), Fe at (0.0000, 0.5000, 0.2432) and Rh at (0.0000, 0.5000, 0.7573).

The value obtained for the calculated density is 7.21 Mg/m³. The formation enthalpy at 0 K comes out at 5.3 kJ/mol of atoms.


Record 2
Here is a geometry-optimized LiFeRh2 structure from the Alexandria database. Energies are from GGA-PBE.

The space group is Cmmm (No. 65) and the conventional cell measures 2.8656, 4.4938 and 8.5157 Å, with angles of 90.00, 90.00 and 90.00 degrees. The asymmetric unit holds Li at (0.0000, 0.0000, 0.0000), Fe at (0.0000, 0.0000, 0.5000) and Rh at (0.0000, 0.5000, 0.2557).

The value obtained for the calculated density is 8.13 Mg/m³. The formation enthalpy at 0 K comes out at -3.6 kJ/mol of atoms.


Record 3
Here is a geometry-optimized LiFeRh2 structure from the Alexandria database. Energies are from GGA-PBE.

The space group is R3m (No. 160, hexagonal axes) and the conventional cell measures 2.7115, 2.7115 and 25.4973 Å, with angles of 90.00, 90.00 and 120.00 degrees. The asymmetric unit holds Li at (0.0000, 0.0000, 0.0000), Fe at (0.0000, 0.0000, 0.8334), Rh at (0.0000, 0.0000, 0.2476) and Rh at (0.0000, 0.0000, 0.4190).

The value obtained for the calculated density is 8.24 Mg/m³. The formation enthalpy at 0 K comes out at -8.3 kJ/mol of atoms.


Record 4
Here is a geometry-optimized LiFeRh2 structure from the Alexandria database. Energies are from GGA-PBE.

The space group is Cm (No. 8) and the conventional cell measures 9.5812, 2.7045 and 4.4752 Å, with angles of 90.00, 114.64 and 90.00 degrees. The asymmetric unit holds Li at (0.0000, 0.0000, 0.0000), Fe at (0.2431, 0.0000, 0.5818), Rh at (0.2525, 0.5000, 0.0895) and Rh at (0.4972, 0.0000, 0.5046).

The value obtained for the calculated density is 8.46 Mg/m³. The formation enthalpy at 0 K comes out at -6.4 kJ/mol of atoms.


Record 5
Here is a geometry-optimized Li2Fe2Rh structure from the Alexandria database. Energies are from GGA-PBE.

The space group is I4/mmm (No. 139) and the conventional cell measures 3.1923, 3.1923 and 11.5543 Å, with angles of 90.00, 90.00 and 90.00 degrees. The asymmetric unit holds Li at (0.0000, 0.0000, 0.0911), Fe at (0.0000, 0.5000, 0.2500) and Rh at (0.0000, 0.0000, 0.5000).

The value obtained for the calculated density is 6.44 Mg/m³. The formation enthalpy at 0 K comes out at 59.0 kJ/mol of atoms.


Record 6
Here is a geometry-optimized LiFeRh2 structure from the Alexandria database. Energies are from GGA-PBE.

The space group is R-3m (No. 166, hexagonal axes) and the conventional cell measures 2.7077, 2.7077 and 25.7167 Å, with angles of 90.00, 90.00 and 120.00 degrees. The asymmetric unit holds Li at (0.0000, 0.0000, 0.0000), Fe at (0.0000, 0.0000, 0.5000) and Rh at (0.0000, 0.0000, 0.2481).

The value obtained for the calculated density is 8.19 Mg/m³. The formation enthalpy at 0 K comes out at -6.5 kJ/mol of atoms.


Record 7
Here is a geometry-optimized LiFeRh2 structure from the Alexandria database. Energies are from GGA-PBE.

The space group is Fm-3m (No. 225) and the conventional cell measures 5.8987, 5.8987 and 5.8987 Å, with angles of 90.00, 90.00 and 90.00 degrees. The asymmetric unit holds Li at (0.0000, 0.0000, 0.0000), Fe at (0.0000, 0.0000, 0.5000) and Rh at (0.2500, 0.2500, 0.2500).

The value obtained for the calculated density is 8.69 Mg/m³. The formation enthalpy at 0 K comes out at -12.1 kJ/mol of atoms.


Record 8
Here is a geometry-optimized LiFeRh2 structure from the Alexandria database. Energies are from GGA-PBE.

The space group is P4/mmm (No. 123) and the conventional cell measures 2.9880, 2.9880 and 5.7824 Å, with angles of 90.00, 90.00 and 90.00 degrees. The asymmetric unit holds Li at (0.0000, 0.0000, 0.0000), Fe at (0.0000, 0.0000, 0.5000) and Rh at (0.5000, 0.5000, 0.2475).

The value obtained for the calculated density is 8.64 Mg/m³. The formation enthalpy at 0 K comes out at -9.4 kJ/mol of atoms.


The lowest calculated density belongs to which entry?
Li2Fe2Rh